# 1
The following is a PBE calculation of crystalline LaPr2Y2 at its relaxed geometry, from the Alexandria database.

Properties
formation enthalpy at 0 K	0.0929	eV/atom
calculated total energy	-5.3901	eV per atom
excess energy over the best structure of this formula in the dataset	0	meV/atom
space-group type	I4/mmm

a b c (Å): 4.260 4.260 10.093
angles (deg): 102.18 102.18 90.00
Fractional positions:
Y1 0.602 0.602 0.203
Pr1 0.197 0.197 0.394
Y2 0.398 0.398 0.797
La1 0.000 0.000 0.000
Pr2 0.803 0.803 0.606


# 2
The following is a PBE calculation of crystalline La6PrY4 at its relaxed geometry, from the Alexandria database.

Properties
formation enthalpy at 0 K	0.0964	eV/atom
calculated total energy	-5.3763	eV per atom
excess energy over the best structure of this formula in the dataset	0	meV/atom
space-group type	Cmcm

a b c (Å): 5.950 5.796 26.515
angles (deg): 90.00 90.00 120.88
Fractional positions:
Y1 0.844 0.687 0.954
La1 0.538 0.077 0.750
Y2 0.156 0.313 0.454
Y3 0.472 0.944 0.125
Y4 0.528 0.056 0.625
La2 0.188 0.376 0.596
La3 0.812 0.624 0.404
La4 0.812 0.624 0.096
La5 0.136 0.272 0.182
La6 0.462 0.923 0.250
La7 0.500 0.000 0.000
La8 0.136 0.272 0.318
Y5 0.156 0.313 0.046
Pr1 0.198 0.397 0.750
La9 0.500 0.000 0.500
Y6 0.472 0.944 0.375
Pr2 0.802 0.603 0.250
Y7 0.528 0.056 0.875
Y8 0.844 0.687 0.546
La10 0.864 0.728 0.818
La11 0.188 0.376 0.904
La12 0.864 0.728 0.682


# 3
The following is a PBE calculation of crystalline LaPr2Y3 at its relaxed geometry, from the Alexandria database.

Properties
formation enthalpy at 0 K	0.0644	eV/atom
calculated total energy	-5.5820	eV per atom
excess energy over the best structure of this formula in the dataset	0	meV/atom
space-group type	C2/c

a b c (Å): 9.153 6.789 6.789
angles (deg): 95.49 82.37 82.37
Fractional positions:
Y1 0.499 0.667 0.835
Pr1 0.626 0.131 0.623
Y2 0.250 0.419 0.581
Pr2 0.374 0.869 0.377
Pr3 0.126 0.623 0.131
La1 0.750 0.914 0.086
Y3 0.999 0.835 0.667
Pr4 0.874 0.377 0.869
Y4 0.750 0.581 0.419
Y5 0.001 0.165 0.333
La2 0.250 0.086 0.914
Y6 0.501 0.333 0.165